No. 1
A plane-wave DFT calculation with PBE was carried out for YP3O9 after structural relaxation.

Lattice parameters (Å, degrees): 6.846 7.667 8.344 75.64 74.32 70.85
Space group P1 (No. 1)
Symmetry-distinct sites (fractional):
Y (0.000, 0.000, 0.000) x1
Y (0.335, 0.386, 0.691) x1
P (0.051, 0.210, 0.358) x1
P (0.353, 0.859, 0.447) x1
P (0.414, 0.116, 0.120) x1
P (0.518, 0.902, 0.717) x1
P (0.789, 0.705, 0.828) x1
P (0.867, 0.401, 0.662) x1
O (0.018, 0.247, 0.759) x1
O (0.034, 0.779, 0.212) x1
O (0.146, 0.030, 0.492) x1
O (0.259, 0.263, 0.242) x1
O (0.288, 0.136, 0.989) x1
O (0.310, 0.676, 0.508) x1
O (0.315, 0.862, 0.821) x1
O (0.423, 0.912, 0.248) x1
O (0.430, 0.300, 0.463) x1
O (0.534, 0.876, 0.520) x1
O (0.557, 0.090, 0.694) x1
O (0.632, 0.135, 0.063) x1
O (0.635, 0.430, 0.710) x1
O (0.723, 0.567, 0.973) x1
O (0.924, 0.169, 0.263) x1
O (0.924, 0.822, 0.839) x1
O (0.929, 0.588, 0.659) x1
O (0.941, 0.373, 0.463) x1

Properties
formation energy (no corrections) = -198 kJ/mol of atoms
energy relative to the lowest polymorph listed for this composition = 477 meV per atom

---

No. 2
A plane-wave DFT calculation with PBE was carried out for YP3O9 after structural relaxation.

Lattice parameters (Å, degrees): 21.4473 21.4473 12.4162 90.00 90.00 120.00
Space group R-3 (No. 148, hexagonal axes)
Symmetry-distinct sites (fractional):
Y (0.0000, 0.0000, 0.0000) x3
Y (0.0000, 0.0000, 0.5000) x3
Y (0.0325, 0.2572, 0.2364) x18
P (0.0273, 0.8729, 0.1711) x18
P (0.0276, 0.7535, 0.0416) x18
P (0.0415, 0.4960, 0.1691) x18
P (0.0823, 0.1667, 0.6487) x18
O (0.0005, 0.0866, 0.8926) x18
O (0.9999, 0.2046, 0.8829) x18
O (0.0092, 0.5550, 0.7346) x18
O (0.0096, 0.3557, 0.5912) x18
O (0.0130, 0.1538, 0.7158) x18
O (0.0221, 0.5538, 0.1554) x18
O (0.0218, 0.7708, 0.9266) x18
O (0.0276, 0.9316, 0.6042) x18
O (0.0405, 0.4533, 0.0728) x18
O (0.0606, 0.8494, 0.7100) x18
O (0.0752, 0.2123, 0.5516) x18
O (0.0916, 0.1979, 0.1940) x18

Properties
formation energy (no corrections) = -244 kJ/mol of atoms
energy relative to the lowest polymorph listed for this composition = 0 meV per atom

---

No. 3
A plane-wave DFT calculation with PBE was carried out for YP3O9 after structural relaxation.

Lattice parameters (Å, degrees): 14.412 6.841 10.226 90.00 127.39 90.00
Space group Cc (No. 9)
Symmetry-distinct sites (fractional):
Y (0.000, 0.236, 0.000) x4
P (0.152, 0.408, 0.835) x4
P (0.256, 0.081, 0.769) x4
P (0.347, 0.396, 0.662) x4
O (0.067, 0.317, 0.857) x4
O (0.103, 0.488, 0.176) x4
O (0.137, 0.004, 0.633) x4
O (0.230, 0.439, 0.480) x4
O (0.247, 0.248, 0.872) x4
O (0.311, 0.190, 0.691) x4
O (0.347, 0.060, 0.392) x4
O (0.365, 0.456, 0.284) x4
O (0.446, 0.364, 0.654) x4

Properties
formation energy (no corrections) = -243 kJ/mol of atoms
energy relative to the lowest polymorph listed for this composition = 8 meV per atom

---

Among the records above, which one has the lowest formation energy (no corrections)?
number 2

---

Look up the energy relative to the lowest polymorph listed for this composition of the second one.
0 meV per atom